[1]
DFT (PBE) results for a geometry-optimized RbIrO3 structure.

Cell and atoms, written as CIF:
```
data_RbIrO3
_cell_length_a 3.9778
_cell_length_b 3.9778
_cell_length_c 3.9778
_cell_angle_alpha 90.00
_cell_angle_beta 90.00
_cell_angle_gamma 90.00
_space_group_name_H-M_alt 'P m -3 m'
_space_group_IT_number 221
_space_group_name_Hall '-P 4 2 3'
loop_
_atom_site_label
_atom_site_type_symbol
_atom_site_fract_x
_atom_site_fract_y
_atom_site_fract_z
Rb1 Rb 0.0000 0.0000 0.0000
Ir1 Ir 0.5000 0.5000 0.5000
O1 O 0.0000 0.5000 0.5000
```

Computed properties:
As for the uncorrected formation energy: -0.7737 eV/atom. The total moment comes out at 1.2 μB per formula unit.

***

[2]
DFT (PBE) results for a geometry-optimized RbIrO3 structure.

Cell and atoms, written as CIF:
```
data_RbIrO3
_cell_length_a 6.2416
_cell_length_b 6.2416
_cell_length_c 5.1916
_cell_angle_alpha 90.00
_cell_angle_beta 90.00
_cell_angle_gamma 120.00
_space_group_name_H-M_alt 'P 63/m m c'
_space_group_IT_number 194
_space_group_name_Hall '-P 6c 2c'
loop_
_atom_site_label
_atom_site_type_symbol
_atom_site_fract_x
_atom_site_fract_y
_atom_site_fract_z
Rb1 Rb 0.3333 0.6667 0.2500
Ir1 Ir 0.0000 0.0000 0.0000
O1 O 0.1406 0.2812 0.7500
```

Computed properties:
As for the uncorrected formation energy: -1.0429 eV/atom. The total moment comes out at 0.0 μB per formula unit.

***

[3]
DFT (PBE) results for a geometry-optimized Rb2IrO4 structure.

Cell and atoms, written as CIF:
```
data_Rb2IrO4
_cell_length_a 7.6156
_cell_length_b 9.2896
_cell_length_c 9.3115
_cell_angle_alpha 90.00
_cell_angle_beta 90.00
_cell_angle_gamma 90.00
_space_group_name_H-M_alt 'F m m m'
_space_group_IT_number 69
_space_group_name_Hall '-F 2 2'
loop_
_atom_site_label
_atom_site_type_symbol
_atom_site_fract_x
_atom_site_fract_y
_atom_site_fract_z
Rb1 Rb 0.2500 0.2500 0.2500
Ir1 Ir 0.0000 0.0000 0.0000
O1 O 0.0000 0.0000 0.1968
O2 O 0.0000 0.1973 0.0000
```

Computed properties:
The value obtained for the energy above the most stable polymorph in this dataset is 0.018 eV/atom. As for the uncorrected formation energy: -1.0384 eV/atom. The total moment comes out at 1.0 μB per formula unit.

***

[4]
DFT (PBE) results for a geometry-optimized Rb3IrO3 structure.

Cell and atoms, written as CIF:
```
data_Rb3IrO3
_cell_length_a 8.4169
_cell_length_b 14.5453
_cell_length_c 5.8088
_cell_angle_alpha 90.00
_cell_angle_beta 90.00
_cell_angle_gamma 90.00
_space_group_name_H-M_alt 'C m c m'
_space_group_IT_number 63
_space_group_name_Hall '-C 2c 2'
loop_
_atom_site_label
_atom_site_type_symbol
_atom_site_fract_x
_atom_site_fract_y
_atom_site_fract_z
Rb1 Rb 0.0000 0.1828 0.2500
Rb2 Rb 0.2249 0.4085 0.2500
Ir1 Ir 0.0000 0.3331 0.7500
O1 O 0.0000 0.2043 0.7500
O2 O 0.1926 0.3976 0.7500
```

Computed properties:
The value obtained for the energy above the most stable polymorph in this dataset is 0.000 eV/atom. As for the uncorrected formation energy: -1.0597 eV/atom. The total moment comes out at 0.0 μB per formula unit.